Compound: LiCrOsC2
Source: Alexandria via LeMat-Bulk
Functional: GGA-PBE
Structure: optimized geometry

The structure in extended XYZ format:
```
5
Lattice="-0.269 0.868 3.617 -3.887 0.106 -0.315 -0.169 -3.626 0.857" Properties=species:S:1:pos:R:3 pbc="T T T"
Cr 0.000 0.000 0.000
C -0.084 -1.813 0.429
C -0.135 0.434 1.809
Os -2.162 -1.326 2.080
Li -1.943 0.053 -0.157
```

Calculated values
The formation energy from the elements comes out at 1.966 eV/atom. The value obtained for the magnetic moment is 0.00 μB/atom.